DFT (PBE) results for a relaxed Sn2TeHSe crystal.

Calculated values
Calculated total energy in eV per atom: -3.489
Crystal system: tetragonal

a b c (Å): 5.5715 5.5715 3.6955
angles (deg): 90.00 90.00 90.00
Closest atoms and distances in Å follow each position.
Space group P4/mmm (No. 123)
Unique sites:
Sn 0.0000 0.5000 0.0000 x2  2 H 2.79
Te 0.0000 0.0000 0.5000 x1  8 Sn 3.34, 2 Te 3.70
H 0.5000 0.5000 0.0000 x1  2 Se 1.85
Se 0.5000 0.5000 0.5000 x1  2 H 1.85